# La2Ag3 | Alexandria via LeMat-Bulk | GGA-PBE | relaxed
data_La2Ag3
_chemical_formula_sum 'La4 Ag6'
_symmetry_space_group_name_H-M 'I 4/m m m'
_symmetry_Int_Tables_number 139
_symmetry_space_group_name_Hall '-I 4 2'
_cell_length_a 3.8090
_cell_length_b 3.8090
_cell_length_c 17.8251
_cell_angle_alpha 90.00
_cell_angle_beta 90.00
_cell_angle_gamma 90.00
loop_
_atom_site_label
_atom_site_fract_x
_atom_site_fract_y
_atom_site_fract_z
_atom_site_occupancy
La1 0.0000 0.0000 0.1086 1
Ag1 0.0000 0.0000 0.2884 1
Ag2 0.0000 0.0000 0.5000 1
# - total magnetization (μB per formula unit) = 0.00
# - energy above the most stable polymorph in this dataset (meV/atom) = 23
# - energy relative to the elements (eV/atom) = -0.242
# - uncorrected energy (eV per cell) = -39.238